Sr2TmZrO6 | Alexandria via LeMat-Bulk | PBE | optimized geometry; crystal system = monoclinic; space-group type = P2_1/c, No. 14; spin magnetization = 1.11 μB/f.u.
1.0
5.9046 0.0000 0.0000
0.0000 6.0236 0.0000
-5.9029 0.0000 8.3989
Sr Tm Zr O
4 2 2 12
Direct
0.2373 0.0416 0.2490
0.2373 0.4584 0.7490
0.7627 0.5416 0.2510
0.7627 0.9584 0.7510
0.0000 0.0000 0.5000
0.0000 0.5000 0.0000
0.5000 0.0000 0.0000
0.5000 0.5000 0.5000
0.1686 0.2049 0.9536
0.1686 0.2951 0.4536
0.2472 0.7170 0.9502
0.2472 0.7830 0.4502
0.3463 0.0312 0.7561
0.3463 0.4688 0.2561
0.6537 0.5312 0.7439
0.6537 0.9688 0.2439
0.7528 0.2170 0.5498
0.7528 0.2830 0.0498
0.8314 0.7049 0.5464
0.8314 0.7951 0.0464

***

Sr5U5O19 | Alexandria via LeMat-Bulk | PBE | optimized geometry; crystal system = triclinic; energy relative to the lowest polymorph listed for this composition = 0.0 meV per atom; space-group type = P1, No. 1; spin magnetization = 2.08 μB/f.u.
1.0
6.8665 0.0000 0.0000
-2.3183 7.4282 0.0000
-1.1405 -1.8994 8.4894
Sr U O
5 5 19
Direct
0.0000 0.0000 0.0000
0.1775 0.3867 0.4065
0.4009 0.7972 0.8141
0.5977 0.1985 0.2130
0.7920 0.5963 0.6058
0.2077 0.8998 0.4211
0.3890 0.2935 0.8014
0.5760 0.6926 0.2100
0.7905 0.1040 0.6132
0.9990 0.4834 0.0004
0.0417 0.6935 0.8889
0.0487 0.2429 0.8335
0.1169 0.1275 0.5686
0.1642 0.7066 0.5492
0.2027 0.6668 0.2268
0.2304 0.0724 0.2742
0.3437 0.5299 0.9815
0.3700 0.1180 0.9444
0.4241 0.4831 0.6736
0.4536 0.0568 0.6461
0.5209 0.4975 0.3359
0.5472 0.9344 0.3891
0.6485 0.8867 0.0836
0.7251 0.5184 0.0803
0.7329 0.3500 0.7884
0.7548 0.8975 0.7268
0.8253 0.2965 0.4837
0.8705 0.8065 0.3770
0.9533 0.2902 0.1306

***

Sr3UO6 | Alexandria via LeMat-Bulk | PBE | optimized geometry; crystal system = monoclinic; energy relative to the lowest polymorph listed for this composition = 22.0 meV per atom; space-group type = P2_1/c, No. 14; spin magnetization = 0.00 μB/f.u.
1.0
6.0503 0.0000 0.0000
0.0000 6.2797 0.0000
-5.9923 0.0000 8.7126
Sr U O
6 2 12
Direct
0.0000 0.0000 0.0000
0.0000 0.5000 0.5000
0.2282 0.0488 0.7427
0.2282 0.4512 0.2427
0.7718 0.5488 0.7573
0.7718 0.9512 0.2573
0.5000 0.0000 0.5000
0.5000 0.5000 0.0000
0.1681 0.1764 0.4501
0.1681 0.3236 0.9501
0.2497 0.7273 0.4232
0.2497 0.7727 0.9232
0.3935 0.0623 0.2758
0.3935 0.4377 0.7758
0.6065 0.5623 0.2242
0.6065 0.9377 0.7242
0.7503 0.2273 0.0768
0.7503 0.2727 0.5768
0.8319 0.6764 0.0499
0.8319 0.8236 0.5499

***

no.,formation energy from raw total energies (meV per atom)
1,-3030
2,-3248
3,-3117